No. 1
The following is a PBE calculation of crystalline Ac7LaPb4 at its relaxed geometry, from the Alexandria database.

Cell lengths 16.8626, 6.3212, 10.7152 Å; angles 90.00, 121.77, 90.00 degrees
Last column: nearest neighbours and their distance in Å.
Space group C2/m (No. 12)
One atom of each set of equivalent atoms:
Ac1 0.0000 0.0000 0.0000 [2 per cell]  2 La 3.16, 4 Pb 3.33-3.52
Ac2 0.0675 0.5000 0.4021 [4 per cell]  3 Pb 3.57-3.74, 3 Ac 3.73-3.82, 1 La 3.83
Ac3 0.1926 0.5000 0.8753 [4 per cell]  4 Pb 3.64-3.95, 3 Ac 3.79-3.93
Ac4 0.2488 0.0000 0.6926 [4 per cell]  4 Pb 3.34-3.41, 1 Ac 3.73
La1 0.0000 0.5000 0.0000 [2 per cell]  2 Ac 3.16
Pb1 0.0694 0.0000 0.7427 [4 per cell]  6 Ac 3.34-3.74
Pb2 0.1874 0.0000 0.3390 [4 per cell]  5 Ac 3.33-3.57

Summary:
V   40.5 Å³ per atom
Spin magnetization   0.000 μB/cell
Theoretical density   8.7 g/cm³
Final energy   -4.18 eV per atom

=====

No. 2
The following is a PBE calculation of crystalline Dy2CoSn3 at its relaxed geometry, from the Alexandria database.

Cell lengths 10.8755, 4.5865, 7.2307 Å; angles 90.00, 129.07, 90.00 degrees
Last column: nearest neighbours and their distance in Å.
Space group Cm (No. 8)
One atom of each set of equivalent atoms:
Dy1 0.0000 0.0000 0.0000 [2 per cell]  9 Sn 3.17-3.48, 3 Co 3.45
Dy2 0.1304 0.0000 0.6020 [2 per cell]  1 Co 2.84, 2 Sn 3.08
Co1 0.3702 0.0000 0.5537 [2 per cell]  4 Sn 2.50-2.62
Sn1 0.1574 0.5000 0.9096 [2 per cell]  1 Co 2.50
Sn2 0.2531 0.5000 0.4226 [2 per cell]  2 Co 2.50
Sn3 0.3894 0.0000 0.2106 [2 per cell]  1 Co 2.62

Summary:
V   23.3 Å³ per atom
Spin magnetization   0.000 μB/cell
Theoretical density   8.8 g/cm³
Final energy   -5.21 eV per atom

=====

No. 3
The following is a PBE calculation of crystalline CsNaPmCl5 at its relaxed geometry, from the Alexandria database.

Cell lengths 9.3985, 13.0948, 10.5550 Å; angles 90.00, 112.28, 90.00 degrees
Last column: nearest neighbours and their distance in Å.
Space group C2/c (No. 15)
One atom of each set of equivalent atoms:
Cs1 0.0000 0.1647 0.2500 [4 per cell]  7 Cl 3.56-3.80
Na1 0.0000 0.1882 0.7500 [4 per cell]  4 Cl 2.70-2.71
Pm1 0.0000 0.5000 0.0000 [4 per cell]  6 Cl 2.71-2.76
Cl1 0.0000 0.4382 0.2500 [4 per cell]  2 Pm 2.76
Cl2 0.0936 0.3062 0.5865 [8 per cell]  1 Na 2.70, 1 Pm 2.73
Cl3 0.2017 0.0560 0.9248 [8 per cell]  1 Na 2.71, 1 Pm 2.71

Summary:
V   37.6 Å³ per atom
Spin magnetization   0.000 μB/cell
Theoretical density   2.6 g/cm³
ΔE_f (raw)   -2.107 eV/atom
Final energy   -4.13 eV per atom

=====

No. 4
The following is a PBE calculation of crystalline NaScTlCl6 at its relaxed geometry, from the Alexandria database.

Cell lengths 6.8545, 6.8545, 6.0973 Å; angles 90.00, 90.00, 120.00 degrees
Last column: nearest neighbours and their distance in Å.
Space group P312 (No. 149)
One atom of each set of equivalent atoms:
Na1 0.0000 0.0000 0.0000 [1 per cell]  6 Cl 2.77
Sc1 0.6667 0.3333 0.0000 [1 per cell]  6 Cl 2.51
Tl1 0.3333 0.6667 0.5000 [1 per cell]  6 Cl 2.92
Cl1 0.3622 0.0348 0.2340 [6 per cell]  1 Sc 2.51, 1 Na 2.77

Summary:
V   27.6 Å³ per atom
Spin magnetization   0.000 μB/cell
Theoretical density   3.2 g/cm³
ΔE_f (raw)   -1.536 eV/atom
Final energy   -3.88 eV per atom

=====

No. 5
The following is a PBE calculation of crystalline AlInRe2 at its relaxed geometry, from the Alexandria database.

Cell lengths 4.1378, 4.1378, 7.5160 Å; angles 90.00, 90.00, 90.00 degrees
Last column: nearest neighbours and their distance in Å.
Space group I-4m2 (No. 119)
One atom of each set of equivalent atoms:
Al1 0.0000 0.0000 0.0000 [2 per cell]  4 In 2.79, 8 Re 2.79-2.93
In1 0.0000 0.5000 0.7500 [2 per cell]  8 Re 2.79-2.93, 4 Al 2.79
Re1 0.0000 0.0000 0.5000 [2 per cell]  4 In 2.79, 4 Re 2.79, 4 Al 2.93
Re2 0.0000 0.5000 0.2500 [2 per cell]  4 Re 2.79, 4 Al 2.79, 4 In 2.93

Summary:
V   16.1 Å³ per atom
Spin magnetization   0.000 μB/cell
Offset from the most stable computed form   0.259 eV per atom
Theoretical density   13.3 g/cm³
Final energy   -7.48 eV per atom

=====

No. 6
The following is a PBE calculation of crystalline LaBiSb2Te at its relaxed geometry, from the Alexandria database.

Cell lengths 5.7046, 5.7046, 5.9059 Å; angles 90.00, 90.00, 90.00 degrees
Last column: nearest neighbours and their distance in Å.
Space group P4/mmm (No. 123)
One atom of each set of equivalent atoms:
La1 0.0000 0.0000 0.0000 [1 per cell]  4 Te 4.03, 8 Sb 4.11
Bi1 0.5000 0.5000 0.5000 [1 per cell]  4 Sb 2.85, 2 Te 2.95
Sb1 0.0000 0.5000 0.5000 [2 per cell]  2 Bi 2.85
Te1 0.5000 0.5000 0.0000 [1 per cell]  2 Bi 2.95

Summary:
V   38.4 Å³ per atom
Spin magnetization   0.000 μB/cell
Offset from the most stable computed form   0.000 eV per atom
Theoretical density   6.2 g/cm³
ΔE_f (raw)   0.151 eV/atom
Final energy   -3.89 eV per atom

=====

No. 7
The following is a PBE calculation of crystalline PrNdLuSn at its relaxed geometry, from the Alexandria database.

Cell lengths 7.8145, 7.8145, 7.8145 Å; angles 90.00, 90.00, 90.00 degrees
Last column: nearest neighbours and their distance in Å.
Space group F-43m (No. 216)
One atom of each set of equivalent atoms:
Pr1 0.0000 0.0000 0.0000 [4 per cell]  4 Sn 3.38, 4 Lu 3.38
Nd1 0.0000 0.0000 0.5000 [4 per cell]  4 Sn 3.38, 4 Lu 3.38
Lu1 0.2500 0.2500 0.7500 [4 per cell]  4 Pr 3.38, 4 Nd 3.38
Sn1 0.2500 0.2500 0.2500 [4 per cell]  4 Pr 3.38, 4 Nd 3.38

Summary:
V   29.8 Å³ per atom
Spin magnetization   0.001 μB/cell
Theoretical density   8.1 g/cm³
Final energy   -4.77 eV per atom

=====

No. 8
The following is a PBE calculation of crystalline MnSnPd3 at its relaxed geometry, from the Alexandria database.

Cell lengths 4.7226, 4.7280, 7.8042 Å; angles 72.39, 86.21, 77.44 degrees
Last column: nearest neighbours and their distance in Å.
Space group P-1 (No. 2)
One atom of each set of equivalent atoms:
Mn1 0.2500 0.1429 0.2144 [2 per cell]  9 Pd 2.70-2.91, 2 Sn 2.95-2.96
Sn1 0.2499 0.3549 0.7914 [2 per cell]  9 Pd 2.72-2.98, 2 Mn 2.95-2.96
Pd1 0.2504 0.5551 0.3902 [2 per cell]  2 Mn 2.70, 3 Sn 2.72-2.98, 7 Pd 2.86-2.96
Pd2 0.2497 0.9475 0.6062 [2 per cell]  3 Mn 2.71-2.91, 2 Sn 2.74, 7 Pd 2.84-2.96
Pd3 0.2509 0.7505 0.0001 [2 per cell]  4 Sn 2.82-2.83, 4 Mn 2.85, 4 Pd 2.90-2.96

Summary:
V   16.2 Å³ per atom
Spin magnetization   8.454 μB/cell
Offset from the most stable computed form   0.000 eV per atom
Theoretical density   10.1 g/cm³
Final energy   -6.15 eV per atom

=====

No. 9
The following is a PBE calculation of crystalline Tl3Au5Se12 at its relaxed geometry, from the Alexandria database.

Cell lengths 16.4249, 16.4249, 16.4249 Å; angles 90.00, 90.00, 90.00 degrees
Last column: nearest neighbours and their distance in Å.
Space group Ia-3d (No. 230)
One atom of each set of equivalent atoms:
Tl1 0.0000 0.2500 0.1250 [24 per cell]  4 Se 2.86
Au1 0.0000 0.0000 0.0000 [16 per cell]  6 Se 2.64
Au2 0.0000 0.2500 0.3750 [24 per cell]  4 Se 2.52
Se1 0.0137 0.0438 0.6538 [96 per cell]  2 Au 2.52-2.64

Summary:
V   27.7 Å³ per atom
Spin magnetization   0.000 μB/cell
Theoretical density   7.6 g/cm³
ΔE_f (raw)   0.096 eV/atom
Final energy   -3.17 eV per atom

=====

No. 10
The following is a PBE calculation of crystalline SrUCd2S6 at its relaxed geometry, from the Alexandria database.

Cell lengths 6.8431, 6.8431, 18.8333 Å; angles 90.00, 90.00, 120.00 degrees
Last column: nearest neighbours and their distance in Å.
Space group R3 (No. 146, hexagonal axes)
One atom of each set of equivalent atoms:
Sr1 0.0000 0.0000 0.0000 [3 per cell]  6 S 2.90-3.03
U1 0.0000 0.0000 0.4849 [3 per cell]  6 S 2.56-2.61
Cd1 0.0000 0.0000 0.2883 [3 per cell]  6 S 2.64-2.91
Cd2 0.0000 0.0000 0.8069 [3 per cell]  6 S 2.66-2.83
S1 0.0095 0.3221 0.5614 [9 per cell]  1 U 2.61, 2 Cd 2.64-2.83
S2 0.0254 0.6315 0.0670 [9 per cell]  1 U 2.56, 1 Cd 2.66

Summary:
V   25.5 Å³ per atom
Spin magnetization   0.000 μB/cell
Theoretical density   4.8 g/cm³
ΔE_f (raw)   -1.023 eV/atom
Final energy   -4.98 eV per atom

=====

No. 11
The following is a PBE calculation of crystalline BPIrAu at its relaxed geometry, from the Alexandria database.

Cell lengths 4.1878, 2.8651, 5.6792 Å; angles 90.00, 98.15, 90.00 degrees
Last column: nearest neighbours and their distance in Å.
Space group Pm (No. 6)
One atom of each set of equivalent atoms:
B1 0.0000 0.0000 0.0000 [1 per cell]  1 P 1.91, 2 Ir 2.09
P1 0.6620 0.0000 0.1921 [1 per cell]  1 B 1.91
Ir1 0.3390 0.5000 0.9333 [1 per cell]  2 B 2.09
Au1 0.8131 0.0000 0.6191 [1 per cell]  1 B 2.19, 1 P 2.42

Summary:
V   16.9 Å³ per atom
Spin magnetization   0.000 μB/cell
Offset from the most stable computed form   0.005 eV per atom
Theoretical density   10.6 g/cm³
Final energy   -6.02 eV per atom

=====

No. 12
The following is a PBE calculation of crystalline KCd2BiAu at its relaxed geometry, from the Alexandria database.

Cell lengths 5.3353, 5.3353, 5.8754 Å; angles 90.00, 90.00, 90.00 degrees
Last column: nearest neighbours and their distance in Å.
Space group P4/mmm (No. 123)
One atom of each set of equivalent atoms:
K1 0.0000 0.0000 0.0000 [1 per cell]  4 Bi 3.77, 8 Cd 3.97
Cd1 0.0000 0.5000 0.5000 [2 per cell]  2 Au 2.67
Bi1 0.5000 0.5000 0.0000 [1 per cell]  2 Au 2.94
Au1 0.5000 0.5000 0.5000 [1 per cell]  4 Cd 2.67, 2 Bi 2.94

Summary:
V   33.4 Å³ per atom
Spin magnetization   0.000 μB/cell
Offset from the most stable computed form   0.000 eV per atom
Theoretical density   6.7 g/cm³
Final energy   -2.06 eV per atom

=====

No. 13
The following is a PBE calculation of crystalline AcAlS3 at its relaxed geometry, from the Alexandria database.

Cell lengths 5.0244, 15.8064, 6.5961 Å; angles 90.00, 90.00, 90.00 degrees
Last column: nearest neighbours and their distance in Å.
Space group Ama2 (No. 40)
One atom of each set of equivalent atoms:
Ac1 0.2500 0.1438 0.0000 [4 per cell]  6 S 2.93-3.18
Al1 0.2500 0.4208 0.9722 [4 per cell]  3 S 2.24-2.29
S1 0.2500 0.0634 0.4132 [4 per cell]  3 Al 2.29-2.55
S2 0.2500 0.3042 0.7680 [4 per cell]  1 Al 2.28
S3 0.2500 0.4090 0.3109 [4 per cell]  1 Al 2.24

Summary:
V   26.2 Å³ per atom
Spin magnetization   0.000 μB/cell
Offset from the most stable computed form   0.068 eV per atom
Theoretical density   4.4 g/cm³
ΔE_f (raw)   -1.570 eV/atom
Final energy   -5.62 eV per atom

=====

No. 14
The following is a PBE calculation of crystalline BeOsI2O at its relaxed geometry, from the Alexandria database.

Cell lengths 5.5318, 5.5318, 3.7448 Å; angles 90.00, 90.00, 90.00 degrees
Last column: nearest neighbours and their distance in Å.
Space group P4/mmm (No. 123)
One atom of each set of equivalent atoms:
Be1 0.0000 0.0000 0.0000 [1 per cell]  8 I 3.34
Os1 0.5000 0.5000 0.5000 [1 per cell]  2 O 1.87
I1 0.0000 0.5000 0.5000 [2 per cell]  2 Os 2.77
O1 0.5000 0.5000 0.0000 [1 per cell]  2 Os 1.87

Summary:
V   22.9 Å³ per atom
Spin magnetization   0.113 μB/cell
Offset from the most stable computed form   0.167 eV per atom
Theoretical density   6.8 g/cm³
ΔE_f (raw)   0.449 eV/atom
Final energy   -4.15 eV per atom

=====

No. 15
The following is a PBE calculation of crystalline PPbCl2 at its relaxed geometry, from the Alexandria database.

Cell lengths 4.0745, 4.0745, 11.5166 Å; angles 90.00, 90.00, 90.00 degrees
Last column: nearest neighbours and their distance in Å.
Space group I-4m2 (No. 119)
One atom of each set of equivalent atoms:
P1 0.0000 0.0000 0.0000 [2 per cell]  4 Cl 2.88
Pb1 0.0000 0.5000 0.7500 [2 per cell]  4 Cl 2.88
Cl1 0.0000 0.0000 0.5000 [2 per cell]  4 P 2.88
Cl2 0.0000 0.5000 0.2500 [2 per cell]  4 Pb 2.88

Summary:
V   23.9 Å³ per atom
Spin magnetization   0.002 μB/cell
Offset from the most stable computed form   0.428 eV per atom
Theoretical density   5.4 g/cm³
ΔE_f (raw)   0.049 eV/atom
Final energy   -3.15 eV per atom

=====

No. 16
The following is a PBE calculation of crystalline PaVH4 at its relaxed geometry, from the Alexandria database.

Cell lengths 3.1276, 3.1276, 5.2348 Å; angles 90.00, 90.00, 90.00 degrees
Last column: nearest neighbours and their distance in Å.
Space group P4/mmm (No. 123)
One atom of each set of equivalent atoms:
Pa1 0.0000 0.0000 0.0000 [1 per cell]  8 H 2.26
V1 0.5000 0.5000 0.5000 [1 per cell]  8 H 1.85
H1 0.0000 0.5000 0.3107 [4 per cell]  2 V 1.85, 1 H 1.98

Summary:
V   8.5 Å³ per atom
Spin magnetization   1.123 μB/cell
Theoretical density   9.3 g/cm³
Final energy   -5.58 eV per atom

=====

No. 17
The following is a PBE calculation of crystalline AcScAs2 at its relaxed geometry, from the Alexandria database.

Cell lengths 4.2339, 4.2339, 20.5622 Å; angles 90.00, 90.00, 120.00 degrees
Last column: nearest neighbours and their distance in Å.
Space group R-3m (No. 166, hexagonal axes)
One atom of each set of equivalent atoms:
Ac1 0.0000 0.0000 0.0000 [3 per cell]  6 As 3.14
Sc1 0.0000 0.0000 0.5000 [3 per cell]  6 As 2.84
As1 0.0000 0.0000 0.2372 [6 per cell]  3 Sc 2.84, 3 Ac 3.14

Summary:
V   26.6 Å³ per atom
Spin magnetization   0.000 μB/cell
Offset from the most stable computed form   0.000 eV per atom
Theoretical density   6.6 g/cm³
Final energy   -6.28 eV per atom

=====

No. 18
The following is a PBE calculation of crystalline PmDy6Sc at its relaxed geometry, from the Alexandria database.

Cell lengths 6.4594, 6.6929, 6.8060 Å; angles 117.29, 103.33, 91.55 degrees
Last column: nearest neighbours and their distance in Å.
Space group P-1 (No. 2)
One atom of each set of equivalent atoms:
Pm1 0.0000 0.0000 0.0000 [1 per cell]  2 Sc 3.23, 4 Dy 3.42-3.46
Dy1 0.2390 0.5881 0.4982 [2 per cell]  1 Sc 3.25, 6 Dy 3.26-3.60
Dy2 0.2550 0.5546 0.0083 [2 per cell]  6 Dy 3.26-3.59, 1 Sc 3.37, 1 Pm 3.46
Dy3 0.2744 0.0985 0.5367 [2 per cell]  6 Dy 3.28-3.59, 1 Pm 3.42, 1 Sc 3.51
Sc1 0.5000 0.0000 0.0000 [1 per cell]  2 Pm 3.23, 6 Dy 3.25-3.51

Summary:
V   31.4 Å³ per atom
Spin magnetization   0.000 μB/cell
Offset from the most stable computed form   0.170 eV per atom
Theoretical density   7.7 g/cm³
Final energy   -4.63 eV per atom

=====

No. 19
The following is a PBE calculation of crystalline AcYIr2 at its relaxed geometry, from the Alexandria database.

Cell lengths 3.5239, 3.5239, 7.3567 Å; angles 90.00, 90.00, 90.00 degrees
Last column: nearest neighbours and their distance in Å.
Space group P4/mmm (No. 123)
One atom of each set of equivalent atoms:
Ac1 0.0000 0.0000 0.0000 [1 per cell]  8 Ir 3.21, 4 Ac 3.52
Y1 0.0000 0.0000 0.5000 [1 per cell]  8 Ir 2.99
Ir1 0.5000 0.5000 0.2756 [2 per cell]  4 Y 2.99, 4 Ac 3.21, 1 Ir 3.30

Summary:
V   22.8 Å³ per atom
Spin magnetization   0.280 μB/cell
Offset from the most stable computed form   0.000 eV per atom
Theoretical density   12.7 g/cm³
Final energy   -7.62 eV per atom

=====

No. 20
The following is a PBE calculation of crystalline K2RbSc at its relaxed geometry, from the Alexandria database.

Cell lengths 10.7612, 10.7612, 8.2246 Å; angles 90.00, 90.00, 90.00 degrees
Last column: nearest neighbours and their distance in Å.
Space group I-42d (No. 122)
One atom of each set of equivalent atoms:
K1 0.2341 0.2500 0.1250 [8 per cell]  2 Sc 3.83, 2 Rb 4.06, 2 K 4.13
Rb1 0.0000 0.0000 0.5000 [4 per cell]  4 K 4.06, 2 Sc 4.11
Sc1 0.0000 0.0000 0.0000 [4 per cell]  4 K 3.83, 2 Rb 4.11

Summary:
V   59.5 Å³ per atom
Spin magnetization   7.229 μB/cell
Offset from the most stable computed form   0.087 eV per atom
Theoretical density   1.5 g/cm³
Final energy   -1.66 eV per atom